# Zr2AgIr2 (PBEsol, optimized geometry)
data_Zr2AgIr2
_chemical_formula_sum 'Zr4 Ag2 Ir4'
_symmetry_space_group_name_H-M 'P 4/m b m'
_symmetry_Int_Tables_number 127
_symmetry_space_group_name_Hall '-P 4 2ab'
_cell_length_a 7.5817
_cell_length_b 7.5817
_cell_length_c 3.1346
_cell_angle_alpha 90.00
_cell_angle_beta 90.00
_cell_angle_gamma 90.00
loop_
_atom_site_label
_atom_site_type_symbol
_atom_site_fract_x
_atom_site_fract_y
_atom_site_fract_z
_atom_site_occupancy
Zr1 Zr 0.1614 0.3386 0.0000 1
Ag1 Ag 0.0000 0.0000 0.5000 1
Ir1 Ir 0.1361 0.6361 0.5000 1
# ΔE to the lowest computed polymorph in meV per atom: 0
# E_form in kJ/mol of atoms: -56.5

---

# PbSeBr2 (PBEsol, optimized geometry)
data_PbSeBr2
_chemical_formula_sum 'Pb4 Se4 Br8'
_symmetry_space_group_name_H-M 'F m -3 m'
_symmetry_Int_Tables_number 225
_symmetry_space_group_name_Hall '-F 4 2 3'
_cell_length_a 7.4581
_cell_length_b 7.4581
_cell_length_c 7.4581
_cell_angle_alpha 90.00
_cell_angle_beta 90.00
_cell_angle_gamma 90.00
loop_
_atom_site_label
_atom_site_type_symbol
_atom_site_fract_x
_atom_site_fract_y
_atom_site_fract_z
_atom_site_occupancy
Pb1 Pb 0.0000 0.0000 0.0000 1
Se1 Se 0.0000 0.0000 0.5000 1
Br1 Br 0.2500 0.2500 0.2500 1
# ΔE to the lowest computed polymorph in meV per atom: 0

---

# BaSrSb (PBEsol, optimized geometry)
data_BaSrSb
_chemical_formula_sum 'Ba2 Sr2 Sb2'
_symmetry_space_group_name_H-M 'I 4 m m'
_symmetry_Int_Tables_number 107
_symmetry_space_group_name_Hall 'I 4 -2'
_cell_length_a 4.2630
_cell_length_b 4.2630
_cell_length_c 13.8802
_cell_angle_alpha 90.00
_cell_angle_beta 90.00
_cell_angle_gamma 90.00
loop_
_atom_site_label
_atom_site_type_symbol
_atom_site_fract_x
_atom_site_fract_y
_atom_site_fract_z
_atom_site_occupancy
Ba1 Ba 0.0000 0.0000 0.0000 1
Sr1 Sr 0.0000 0.0000 0.7542 1
Sb1 Sb 0.0000 0.0000 0.3654 1
# ΔE to the lowest computed polymorph in meV per atom: 133

---

# Sc2In (PBEsol, optimized geometry)
data_Sc2In
_chemical_formula_sum 'Sc4 In2'
_symmetry_space_group_name_H-M 'I m m m'
_symmetry_Int_Tables_number 71
_symmetry_space_group_name_Hall '-I 2 2'
_cell_length_a 3.2905
_cell_length_b 4.2259
_cell_length_c 9.5509
_cell_angle_alpha 90.00
_cell_angle_beta 90.00
_cell_angle_gamma 90.00
loop_
_atom_site_label
_atom_site_type_symbol
_atom_site_fract_x
_atom_site_fract_y
_atom_site_fract_z
_atom_site_occupancy
Sc1 Sc 0.0000 0.0000 0.1616 1
In1 In 0.0000 0.0000 0.5000 1
# E_form in kJ/mol of atoms: -29.9

---

# TeAuI2 (PBEsol, optimized geometry)
data_TeAuI2
_chemical_formula_sum 'Te4 Au4 I8'
_symmetry_space_group_name_H-M 'F m -3 m'
_symmetry_Int_Tables_number 225
_symmetry_space_group_name_Hall '-F 4 2 3'
_cell_length_a 7.5197
_cell_length_b 7.5197
_cell_length_c 7.5197
_cell_angle_alpha 90.00
_cell_angle_beta 90.00
_cell_angle_gamma 90.00
loop_
_atom_site_label
_atom_site_type_symbol
_atom_site_fract_x
_atom_site_fract_y
_atom_site_fract_z
_atom_site_occupancy
Te1 Te 0.0000 0.0000 0.0000 1
Au1 Au 0.0000 0.0000 0.5000 1
I1 I 0.2500 0.2500 0.2500 1
# Calculated total energy in eV/cell: -35.34

---

# Be2TeCl (PBEsol, optimized geometry)
data_Be2TeCl
_chemical_formula_sum 'Be4 Te2 Cl2'
_symmetry_space_group_name_H-M 'C m m 2'
_symmetry_Int_Tables_number 35
_cell_length_a 2.9932
_cell_length_b 6.0461
_cell_length_c 8.9515
_cell_angle_alpha 90.00
_cell_angle_beta 90.00
_cell_angle_gamma 90.00
loop_
_symmetry_equiv_pos_as_xyz
'x,y,z'
'-x,-y,z'
'-x,y,z'
'x,-y,z'
'x+1/2,y+1/2,z'
'-x+1/2,-y+1/2,z'
'-x+1/2,y+1/2,z'
'x+1/2,-y+1/2,z'
loop_
_atom_site_label
_atom_site_type_symbol
_atom_site_fract_x
_atom_site_fract_y
_atom_site_fract_z
_atom_site_occupancy
Be1 Be 0.0000 0.0000 0.0000 1
Be2 Be 0.0000 0.5000 0.2078 1
Te1 Te 0.0000 0.5000 0.7712 1
Cl1 Cl 0.0000 0.0000 0.3619 1
# ΔE to the lowest computed polymorph in meV per atom: 203

---

# TaTcIr2 (PBEsol, optimized geometry)
data_TaTcIr2
_chemical_formula_sum 'Ta2 Tc2 Ir4'
_symmetry_space_group_name_H-M 'I 4/m m m'
_symmetry_Int_Tables_number 139
_symmetry_space_group_name_Hall '-I 4 2'
_cell_length_a 3.8893
_cell_length_b 3.8893
_cell_length_c 7.7853
_cell_angle_alpha 90.00
_cell_angle_beta 90.00
_cell_angle_gamma 90.00
loop_
_atom_site_label
_atom_site_type_symbol
_atom_site_fract_x
_atom_site_fract_y
_atom_site_fract_z
_atom_site_occupancy
Ta1 Ta 0.0000 0.0000 0.0000 1
Tc1 Tc 0.0000 0.0000 0.5000 1
Ir1 Ir 0.0000 0.5000 0.2500 1
# ΔE to the lowest computed polymorph in meV per atom: 41
# E_form in kJ/mol of atoms: -46.0

---

# LiAlCr2 (PBEsol, optimized geometry)
data_LiAlCr2
_chemical_formula_sum 'Li2 Al2 Cr4'
_symmetry_space_group_name_H-M 'I m m m'
_symmetry_Int_Tables_number 71
_symmetry_space_group_name_Hall '-I 2 2'
_cell_length_a 3.0616
_cell_length_b 3.7083
_cell_length_c 8.3878
_cell_angle_alpha 90.00
_cell_angle_beta 90.00
_cell_angle_gamma 90.00
loop_
_atom_site_label
_atom_site_type_symbol
_atom_site_fract_x
_atom_site_fract_y
_atom_site_fract_z
_atom_site_occupancy
Li1 Li 0.0000 0.0000 0.0000 1
Al1 Al 0.0000 0.0000 0.5000 1
Cr1 Cr 0.0000 0.5000 0.2523 1
# E_form in kJ/mol of atoms: 21.7

---

# LaSc2ZnPt (PBEsol, optimized geometry)
data_LaSc2ZnPt
_chemical_formula_sum 'La1 Sc2 Zn1 Pt1'
_symmetry_space_group_name_H-M 'P 4/m m m'
_symmetry_Int_Tables_number 123
_symmetry_space_group_name_Hall '-P 4 2'
_cell_length_a 4.9837
_cell_length_b 4.9837
_cell_length_c 4.7024
_cell_angle_alpha 90.00
_cell_angle_beta 90.00
_cell_angle_gamma 90.00
loop_
_atom_site_label
_atom_site_type_symbol
_atom_site_fract_x
_atom_site_fract_y
_atom_site_fract_z
_atom_site_occupancy
La1 La 0.0000 0.0000 0.0000 1
Sc1 Sc 0.0000 0.5000 0.5000 1
Zn1 Zn 0.5000 0.5000 0.5000 1
Pt1 Pt 0.5000 0.5000 0.0000 1
# E_form in kJ/mol of atoms: 2.1

---

# MgAu2 (PBEsol, optimized geometry)
data_MgAu2
_chemical_formula_sum 'Mg4 Au8'
_symmetry_space_group_name_H-M 'C m c m'
_symmetry_Int_Tables_number 63
_symmetry_space_group_name_Hall '-C 2c 2'
_cell_length_a 3.2609
_cell_length_b 14.0157
_cell_length_c 4.5030
_cell_angle_alpha 90.00
_cell_angle_beta 90.00
_cell_angle_gamma 90.00
loop_
_atom_site_label
_atom_site_type_symbol
_atom_site_fract_x
_atom_site_fract_y
_atom_site_fract_z
_atom_site_occupancy
Mg1 Mg 0.0000 0.1016 0.2500 1
Au1 Au 0.0000 0.2324 0.7500 1
Au2 Au 0.0000 0.4378 0.2500 1
# E_form in kJ/mol of atoms: -44.2

---

# HfV2O7 (PBEsol, optimized geometry)
data_HfV2O7
_chemical_formula_sum 'Hf4 V8 O28'
_symmetry_space_group_name_H-M 'P a -3'
_symmetry_Int_Tables_number 205
_symmetry_space_group_name_Hall '-P 2ac 2ab 3'
_cell_length_a 8.8646
_cell_length_b 8.8646
_cell_length_c 8.8646
_cell_angle_alpha 90.00
_cell_angle_beta 90.00
_cell_angle_gamma 90.00
loop_
_atom_site_label
_atom_site_type_symbol
_atom_site_fract_x
_atom_site_fract_y
_atom_site_fract_z
_atom_site_occupancy
Hf1 Hf 0.0000 0.0000 0.0000 1
V1 V 0.1146 0.6146 0.8854 1
O1 O 0.0000 0.0000 0.5000 1
O2 O 0.0637 0.7033 0.4094 1
# Calculated total energy in eV/cell: -374.92

---

# LiP2Ru (PBEsol, optimized geometry)
data_LiP2Ru
_chemical_formula_sum 'Li2 P4 Ru2'
_symmetry_space_group_name_H-M 'C 1 2/m 1'
_symmetry_Int_Tables_number 12
_cell_length_a 7.4642
_cell_length_b 2.9181
_cell_length_c 5.0143
_cell_angle_alpha 90.00
_cell_angle_beta 99.47
_cell_angle_gamma 90.00
loop_
_symmetry_equiv_pos_as_xyz
'x,y,z'
'-x,-y,-z'
'-x,y,-z'
'x,-y,z'
'x+1/2,y+1/2,z'
'-x+1/2,-y+1/2,-z'
'-x+1/2,y+1/2,-z'
'x+1/2,-y+1/2,z'
loop_
_atom_site_label
_atom_site_type_symbol
_atom_site_fract_x
_atom_site_fract_y
_atom_site_fract_z
_atom_site_occupancy
Li1 Li 0.0000 0.0000 0.0000 1
P1 P 0.2358 0.0000 0.7186 1
Ru1 Ru 0.0000 0.5000 0.5000 1
# ΔE to the lowest computed polymorph in meV per atom: 0
# E_form in kJ/mol of atoms: -37.3

---

no.,size of the total moment (μB per cell)
1,0.00
2,7.99
3,0.01
4,2.88
5,0.00
6,0.00
7,0.00
8,0.00
9,0.72
10,0.00
11,0.00
12,0.00